[1]
SrIrAu | GGA-PBEsol | relaxed

Cell and atoms, written as POSCAR:
```
SrIrAu
1.0
3.060 0.000 0.000
-1.530 2.650 0.000
0.000 0.000 7.217
Sr Ir Au
1 1 1
direct
0.000 0.000 0.000 Sr
0.667 0.333 0.323 Ir
0.333 0.667 0.635 Au
```

Values from the calculation:
ΔH_f (0 K) = 543 meV per atom
Fermi-level density of states = 1.79 states/eV/f.u.
Total energy = -14.0 eV per cell
ΔE to the lowest computed polymorph = 686 meV/atom

[2]
SrIrAu | GGA-PBEsol | relaxed

Cell and atoms, written as POSCAR:
```
SrIrAu
1.0
4.375 0.000 0.000
-2.188 3.789 0.000
0.000 0.000 4.244
Sr Ir Au
1 1 1
direct
0.000 0.000 0.000 Sr
0.667 0.333 0.500 Ir
0.333 0.667 0.500 Au
```

Values from the calculation:
ΔH_f (0 K) = -144 meV per atom
Fermi-level density of states = 1.45 states/eV/f.u.
Total energy = -16.0 eV per cell
ΔE to the lowest computed polymorph = 0 meV/atom

> Which formula does entry 2 have?

SrIrAu

> Among the records above, which one has the highest total energy?

number 1

> What is the formula in the first record?

SrIrAu

> What is the Fermi-level density of states in the first record?

1.79 states/eV/f.u.